A plane-wave DFT calculation with PBE-GGA was carried out for Pm5NdDy2 after structural relaxation.

Cell: 5.1207 7.2542 14.5089 Å, 90.00 90.00 90.00°
Sites, in units of the cell vectors:
Dy 0.5000 0.7497 0.8750
Dy 0.5000 0.2503 0.1250
Dy 0.5000 0.7503 0.3750
Dy 0.5000 0.2497 0.6250
Pm 0.0000 0.9994 0.7503
Pm 0.5000 0.7494 0.6254
Pm 0.5000 0.7506 0.1254
Pm 0.0000 0.5006 0.2503
Pm 0.0000 0.0000 0.0000
Pm 0.5000 0.2494 0.8746
Pm 0.0000 0.4994 0.7497
Pm 0.5000 0.2506 0.3746
Pm 0.0000 0.0006 0.2497
Pm 0.0000 0.5000 0.5000
Nd 0.0000 0.0000 0.5000
Nd 0.0000 0.5000 0.0000

Values from the calculation:
calculated volume: 33.685 Å³/atom
E above lowest polymorph: 0 meV per atom
symmetry: Pbam, No. 55
density of states at the Fermi level: 11.76 states/eV/f.u.
spin magnetization: 0.0000 μB/atom
formation enthalpy at 0 K: 0.113 eV per formula unit